Entry 1:
Density functional theory data (PBE) for an optimized crystal structure of Ce4GeAs2S.

abc: 4.1868 7.2468 7.2301
angles: 70.48 90.00 90.00
With the nearest neighbours (Å) after each atom.
Positions (direct):
1 Ce 0.5000 0.2540 0.7459  2 S 2.93, 3 As 2.96-2.98, 1 Ge 2.96
2 Ce 0.0000 0.7482 0.7475  1 S 2.93, 3 As 2.96-2.98, 2 Ge 2.96
3 Ce 0.5000 0.7460 0.2541  2 S 2.93, 3 As 2.96-2.98, 1 Ge 2.96
4 Ce 0.0000 0.2518 0.2525  1 S 2.93, 3 As 2.96-2.98, 2 Ge 2.96
5 S 0.0000 0.5000 0.5000  6 Ce 2.93
6 Ge 0.5000 0.5000 0.0000  6 Ce 2.96
7 As 0.5000 0.0000 0.5000  6 Ce 2.96
8 As 0.0000 0.0000 0.0000  6 Ce 2.98

Results
The calculation puts the density of states at the Fermi level at 17.6 states/eV/cell. The value obtained for the uncorrected energy is -53.0 eV/cell.



Entry 2:
Density functional theory data (PBE) for an optimized crystal structure of Ac2Ga5Au12.

abc: 7.3228 7.3228 7.3228
angles: 83.23 83.23 83.23
With the nearest neighbours (Å) after each atom.
Positions (direct):
1 Au 0.3400 0.3400 0.8610  3 Ga 2.76-2.97, 6 Au 2.87-2.95
2 Au 0.3051 0.6949 0.0000  2 Ga 2.79, 6 Au 2.87-2.97
3 Au 0.3400 0.8610 0.3400  3 Ga 2.76-2.97, 6 Au 2.87-2.95
4 Au 0.6600 0.6600 0.1390  3 Ga 2.76-2.97, 6 Au 2.87-2.95
5 Au 0.6949 0.3051 0.0000  2 Ga 2.79, 6 Au 2.87-2.97
6 Au 0.6949 0.0000 0.3051  2 Ga 2.79, 6 Au 2.87-2.97
7 Au 0.0000 0.3051 0.6949  2 Ga 2.79, 6 Au 2.87-2.97
8 Au 0.3051 0.0000 0.6949  2 Ga 2.79, 6 Au 2.87-2.97
9 Au 0.0000 0.6949 0.3051  2 Ga 2.79, 6 Au 2.87-2.97
10 Au 0.8610 0.3400 0.3400  3 Ga 2.76-2.97, 6 Au 2.87-2.95
11 Au 0.6600 0.1390 0.6600  3 Ga 2.76-2.97, 6 Au 2.87-2.95
12 Au 0.1390 0.6600 0.6600  3 Ga 2.76-2.97, 6 Au 2.87-2.95
13 Ga 0.0905 0.0905 0.0905  1 Ga 2.55
14 Ga 0.0000 0.0000 0.5000  8 Au 2.76-2.79, 2 Ga 3.01
15 Ga 0.9095 0.9095 0.9095  1 Ga 2.55
16 Ga 0.0000 0.5000 0.0000  8 Au 2.76-2.79, 2 Ga 3.01
17 Ga 0.5000 0.0000 0.0000  8 Au 2.76-2.79, 2 Ga 3.01
18 Ac 0.6568 0.6568 0.6568  15 Au 3.39-3.79, 4 Ga 3.56-3.75
19 Ac 0.3432 0.3432 0.3432  15 Au 3.39-3.79, 4 Ga 3.56-3.75

Results
The value obtained for the formation energy is -0.394 eV/atom. The calculation puts the density of states at the Fermi level at 7.1 states/eV/cell.



Entry 3:
Density functional theory data (PBE) for an optimized crystal structure of SrFeRe4.

abc: 5.3501 5.3501 5.3501
angles: 60.00 60.00 60.00
With the nearest neighbours (Å) after each atom.
Positions (direct):
1 Sr 0.7500 0.7500 0.7500  12 Re 3.14, 4 Fe 3.28
2 Re 0.8776 0.3741 0.3741  6 Re 2.66-2.69
3 Re 0.3741 0.8776 0.3741  6 Re 2.66-2.69
4 Re 0.3741 0.3741 0.3741  6 Re 2.66-2.69
5 Re 0.3741 0.3741 0.8776  6 Re 2.66-2.69
6 Fe 0.0000 0.0000 0.0000  12 Re 3.13, 4 Sr 3.28

Results
The value obtained for the formation energy is 0.701 eV/atom. The calculation puts the density of states at the Fermi level at 5.5 states/eV/cell.



Entry 4:
Density functional theory data (PBE) for an optimized crystal structure of SmErPa2P4.

abc: 3.9975 6.9189 6.9238
angles: 70.52 90.00 90.00
With the nearest neighbours (Å) after each atom.
Positions (direct):
1 P 0.5000 0.7549 0.2522  3 Pa 2.79-2.82, 2 Er 2.83, 1 Sm 2.87
2 P 0.5000 0.2451 0.7478  3 Pa 2.79-2.82, 2 Er 2.83, 1 Sm 2.87
3 P 0.0000 0.7580 0.7433  3 Pa 2.78-2.82, 1 Er 2.83, 2 Sm 2.87
4 P 0.0000 0.2420 0.2567  3 Pa 2.78-2.82, 1 Er 2.83, 2 Sm 2.87
5 Er 0.0000 0.5000 0.5000  6 P 2.83
6 Pa 0.0000 0.0000 0.0000  6 P 2.82
7 Pa 0.5000 0.0000 0.5000  6 P 2.78-2.79
8 Sm 0.5000 0.5000 0.0000  6 P 2.87

Results
The value obtained for the formation energy is -1.443 eV/atom. The calculation puts the density of states at the Fermi level at 6.7 states/eV/cell.



Entry 5:
Density functional theory data (PBE) for an optimized crystal structure of Pr2Nd9Tm.

abc: 5.1897 5.1897 15.5553
angles: 90.00 90.00 90.00
With the nearest neighbours (Å) after each atom.
Positions (direct):
1 Nd 0.5000 0.5000 0.6684  4 Pr 3.67, 8 Nd 3.68-3.69
2 Nd 0.0000 0.5000 0.8362  8 Nd 3.64-3.68, 2 Tm 3.64, 2 Pr 3.68
3 Nd 0.5000 0.5000 0.0000  8 Nd 3.64, 4 Tm 3.67
4 Nd 0.5000 0.0000 0.5000  8 Nd 3.67-3.69, 4 Pr 3.69
5 Nd 0.5000 0.5000 0.3316  4 Pr 3.67, 8 Nd 3.68-3.69
6 Nd 0.0000 0.5000 0.5000  8 Nd 3.67-3.69, 4 Pr 3.69
7 Nd 0.5000 0.0000 0.8362  8 Nd 3.64-3.68, 2 Tm 3.64, 2 Pr 3.68
8 Nd 0.5000 0.0000 0.1638  8 Nd 3.64-3.68, 2 Tm 3.64, 2 Pr 3.68
9 Nd 0.0000 0.5000 0.1638  8 Nd 3.64-3.68, 2 Tm 3.64, 2 Pr 3.68
10 Tm 0.0000 0.0000 0.0000  12 Nd 3.64-3.67
11 Pr 0.0000 0.0000 0.3315  12 Nd 3.67-3.69
12 Pr 0.0000 0.0000 0.6685  12 Nd 3.67-3.69

Results
The value obtained for the formation energy is 0.015 eV/atom. The calculation puts the density of states at the Fermi level at 19.9 states/eV/cell. The value obtained for the distance to the lowest polymorph of the same formula is 0.0 meV per atom.



Entry 6:
Density functional theory data (PBE) for an optimized crystal structure of ThHPt.

abc: 4.2417 7.7787 6.4226
angles: 74.09 90.00 90.00
With the nearest neighbours (Å) after each atom.
Positions (direct):
1 Pt 0.2500 0.2057 0.6489  2 Pt 2.81, 4 H 2.85-3.08, 4 Th 3.00-3.01
2 Pt 0.7500 0.7943 0.3511  2 Pt 2.81, 4 H 2.85-3.08, 4 Th 3.00-3.01
3 Pt 0.7500 0.2943 0.3511  2 Pt 2.81, 4 H 2.85-3.08, 4 Th 3.00-3.01
4 Pt 0.2500 0.7057 0.6489  2 Pt 2.81, 4 H 2.85-3.08, 4 Th 3.00-3.01
5 Th 0.7500 0.4243 0.7886  4 H 2.37-2.46
6 Th 0.2500 0.0757 0.2114  4 H 2.37-2.46
7 Th 0.2500 0.5757 0.2114  4 H 2.37-2.46
8 Th 0.7500 0.9243 0.7886  4 H 2.37-2.46
9 H 0.7501 0.6253 0.0096  4 Th 2.37-2.46
10 H 0.2499 0.3747 0.9904  4 Th 2.37-2.46
11 H 0.7499 0.1253 0.0096  4 Th 2.37-2.46
12 H 0.2501 0.8747 0.9904  4 Th 2.37-2.46

Results
The calculation puts the density of states at the Fermi level at 5.6 states/eV/cell. The value obtained for the distance to the lowest polymorph of the same formula is 0.0 meV per atom.



Entry 7:
Density functional theory data (PBE) for an optimized crystal structure of NdTm2Ni.

abc: 3.6328 6.3741 9.3209
angles: 90.00 90.00 106.53
With the nearest neighbours (Å) after each atom.
Positions (direct):
1 Nd 0.9271 0.8545 0.2500  2 Ni 2.96
2 Nd 0.0729 0.1455 0.7500  2 Ni 2.96
3 Tm 0.6401 0.2794 0.0688  2 Ni 2.75
4 Tm 0.3599 0.7206 0.5688  2 Ni 2.75
5 Tm 0.3599 0.7206 0.9312  2 Ni 2.75
6 Tm 0.6401 0.2794 0.4312  2 Ni 2.75
7 Ni 0.2367 0.4729 0.2500  4 Tm 2.75, 2 Nd 2.96
8 Ni 0.7633 0.5271 0.7500  4 Tm 2.75, 2 Nd 2.96

Results
The value obtained for the formation energy is -0.211 eV/atom. The calculation puts the density of states at the Fermi level at 11.2 states/eV/cell. The value obtained for the distance to the lowest polymorph of the same formula is 1.9 meV per atom.



Entry 8:
Density functional theory data (PBE) for an optimized crystal structure of ReTc8H4.

abc: 2.8173 6.9094 7.4672
angles: 81.24 79.13 78.24
With the nearest neighbours (Å) after each atom.
Positions (direct):
1 Tc 0.1415 0.3433 0.3737  3 H 1.96-1.99
2 Tc 0.2164 0.6739 0.8934  3 H 1.98-1.99
3 Tc 0.8899 0.6602 0.5601  3 H 1.96-1.99
4 Tc 0.8151 0.3295 0.0404  3 H 1.98-1.99
5 Tc 0.5526 0.6692 0.2257  3 H 1.98-1.99
6 Tc 0.4789 0.3342 0.7080  3 H 1.98-1.99
7 Tc 0.8518 0.0045 0.2919  3 H 2.01-2.03
8 Tc 0.1796 0.9990 0.6418  3 H 2.01-2.03
9 H 0.8471 0.5036 0.8023  6 Tc 1.96-1.99
10 H 0.1844 0.4998 0.1315  6 Tc 1.96-1.99
11 H 0.3677 0.8324 0.4322  6 Tc 1.98-2.03
12 H 0.6637 0.1710 0.5016  6 Tc 1.98-2.03
13 Re 0.5157 0.0017 0.9668  10 Tc 2.73-2.77, 2 Re 2.82

Results
The calculation puts the density of states at the Fermi level at 7.7 states/eV/cell. The value obtained for the uncorrected energy is -109.3 eV/cell.



Entry 9:
Density functional theory data (PBE) for an optimized crystal structure of Na2CdF4.

abc: 4.4373 4.4373 6.8316
angles: 71.05 71.05 90.00
With the nearest neighbours (Å) after each atom.
Positions (direct):
1 F 0.8192 0.8192 0.3617  1 Na 2.14, 1 Cd 2.19
2 F 0.0000 0.5000 0.0000  2 Cd 2.22
3 F 0.5000 0.0000 0.0000  2 Cd 2.22
4 F 0.1808 0.1808 0.6383  1 Na 2.14, 1 Cd 2.19
5 Cd 0.0000 0.0000 0.0000  6 F 2.19-2.22
6 Na 0.6429 0.6429 0.7142  1 F 2.14
7 Na 0.3571 0.3571 0.2858  1 F 2.14

Results
The calculation puts the density of states at the Fermi level at 0.0 states/eV/cell. The value obtained for the distance to the lowest polymorph of the same formula is 128.0 meV per atom.



Entry 10:
Density functional theory data (PBE) for an optimized crystal structure of TiNb.

abc: 7.9201 7.9201 7.9201
angles: 90.00 90.00 90.00
With the nearest neighbours (Å) after each atom.
Positions (direct):
1 Nb 0.3795 0.3795 0.3795  1 Ti 2.30
2 Nb 0.3795 0.6205 0.6205  1 Ti 2.30
3 Nb 0.1205 0.1205 0.8795  1 Ti 2.30
4 Nb 0.6205 0.6205 0.3795  1 Ti 2.30
5 Nb 0.8795 0.1205 0.1205  1 Ti 2.30
6 Nb 0.8795 0.8795 0.8795  1 Ti 2.30
7 Nb 0.1205 0.8795 0.1205  1 Ti 2.30
8 Nb 0.6205 0.3795 0.6205  1 Ti 2.30
9 Ti 0.7116 0.7116 0.7116  1 Nb 2.30
10 Ti 0.7884 0.2116 0.7884  1 Nb 2.30
11 Ti 0.2884 0.7116 0.2884  1 Nb 2.30
12 Ti 0.2884 0.2884 0.7116  1 Nb 2.30
13 Ti 0.7884 0.7884 0.2116  1 Nb 2.30
14 Ti 0.7116 0.2884 0.2884  1 Nb 2.30
15 Ti 0.2116 0.2116 0.2116  1 Nb 2.30
16 Ti 0.2116 0.7884 0.7884  1 Nb 2.30

Results
The value obtained for the formation energy is 1.985 eV/atom. The calculation puts the density of states at the Fermi level at 27.7 states/eV/cell.



Entry 11:
Density functional theory data (PBE) for an optimized crystal structure of LiPd2NCl.

abc: 4.5385 4.1233 4.5385
angles: 90.00 90.00 90.00
With the nearest neighbours (Å) after each atom.
Positions (direct):
1 Cl 0.0000 0.5000 0.0000  2 Li 2.06
2 Pd 0.0000 0.0000 0.5000  2 Li 2.27
3 Pd 0.5000 0.0000 0.0000  2 Li 2.27
4 N 0.5000 0.5000 0.5000  8 Pd 3.07, 4 Cl 3.21
5 Li 0.0000 0.0000 0.0000  2 Cl 2.06, 4 Pd 2.27

Results
The calculation puts the density of states at the Fermi level at 3.6 states/eV/cell. The value obtained for the uncorrected energy is -16.4 eV/cell.



Entry 12:
Density functional theory data (PBE) for an optimized crystal structure of CsGeO.

abc: 4.3023 6.6670 7.1667
angles: 68.97 89.97 71.05
With the nearest neighbours (Å) after each atom.
Positions (direct):
1 O 0.9618 0.3670 0.4536  1 Ge 1.76
2 O 0.6332 0.0259 0.1420  1 Ge 1.76
3 Ge 0.9931 0.3035 0.7147  1 O 1.76
4 Ge 0.6002 0.0904 0.8807  1 O 1.76
5 Cs 0.2017 0.8893 0.4473  3 O 2.95-3.03
6 Cs 0.3934 0.5034 0.1483  3 O 2.95-3.03

Results
The calculation puts the density of states at the Fermi level at 0.4 states/eV/cell. The value obtained for the distance to the lowest polymorph of the same formula is 11.5 meV per atom.



Copy entry 4 word for word.
Density functional theory data (PBE) for an optimized crystal structure of SmErPa2P4.

abc: 3.9975 6.9189 6.9238
angles: 70.52 90.00 90.00
With the nearest neighbours (Å) after each atom.
Positions (direct):
1 P 0.5000 0.7549 0.2522  3 Pa 2.79-2.82, 2 Er 2.83, 1 Sm 2.87
2 P 0.5000 0.2451 0.7478  3 Pa 2.79-2.82, 2 Er 2.83, 1 Sm 2.87
3 P 0.0000 0.7580 0.7433  3 Pa 2.78-2.82, 1 Er 2.83, 2 Sm 2.87
4 P 0.0000 0.2420 0.2567  3 Pa 2.78-2.82, 1 Er 2.83, 2 Sm 2.87
5 Er 0.0000 0.5000 0.5000  6 P 2.83
6 Pa 0.0000 0.0000 0.0000  6 P 2.82
7 Pa 0.5000 0.0000 0.5000  6 P 2.78-2.79
8 Sm 0.5000 0.5000 0.0000  6 P 2.87

Results
The value obtained for the formation energy is -1.443 eV/atom. The calculation puts the density of states at the Fermi level at 6.7 states/eV/cell.



Q: What is the formula in the second record?
A: Ac2Ga5Au12